A plane-wave DFT calculation with PBE-GGA was carried out for crystalline YErRh at its relaxed geometry.

```
YErRh
1.0
-2.793 1.403 -3.637
-2.379 -3.259 -2.592
-4.769 -0.341 0.370
Rh Er Y
1 1 1
direct
0.250 0.250 0.250
0.500 0.500 0.500
0.000 0.000 0.000
```

Summary:
- Offset from the most stable computed form: 0.005 eV per atom
- N(E_F): 3.023 states/eV/f.u.
- Symmetry: F-43m, No. 216
- Electronic total energy: -0.4937 Ry per atom
- Energy of formation: -0.591 eV per atom

---

A plane-wave DFT calculation with PBE-GGA was carried out for crystalline Pr2MgAl4Ga3 at its relaxed geometry.

```
Pr2MgAl4Ga3
1.0
-3.801 1.715 -1.036
-1.700 -3.936 -0.281
-2.807 0.427 10.999
Al Ga Mg Pr
4 3 1 2
direct
0.000 0.000 0.000
0.000 0.500 0.356
0.500 0.500 0.000
0.500 0.000 0.644
0.500 0.000 0.865
0.000 0.500 0.135
0.000 0.000 0.500
0.500 0.500 0.500
0.500 0.000 0.244
0.000 0.500 0.756
```

Summary:
- N(E_F): 4.890 states/eV/f.u.
- Symmetry: P-4m2, No. 115
- Electronic total energy: -0.2870 Ry per atom
- Energy of formation: -0.384 eV per atom

---

A plane-wave DFT calculation with PBE-GGA was carried out for crystalline Ca2InW at its relaxed geometry.

```
Ca2InW
1.0
8.377 0.000 0.000
0.000 8.377 0.000
4.188 4.188 3.005
W In Ca
2 2 4
direct
0.750 0.250 0.500
0.000 0.000 0.000
0.250 0.750 0.500
0.500 0.500 0.000
0.635 0.125 0.250
0.875 0.885 0.750
0.115 0.625 0.250
0.375 0.365 0.750
```

Summary:
- N(E_F): 2.948 states/eV/f.u.
- Symmetry: I-42d, No. 122
- Electronic total energy: -0.2930 Ry per atom
- Energy of formation: 0.938 eV per atom

---

A plane-wave DFT calculation with PBE-GGA was carried out for crystalline BaMgAg2 at its relaxed geometry.

```
BaMgAg2
1.0
-1.800 1.029 -3.079
-0.452 -3.572 -0.930
-7.027 -3.735 2.861
Ag Ba Mg
2 1 1
direct
0.000 0.063 0.937
0.000 0.437 0.563
0.500 0.250 0.250
0.500 0.750 0.750
```

Summary:
- N(E_F): 1.658 states/eV/f.u.
- Symmetry: P4/mmm, No. 123
- Electronic total energy: -0.1811 Ry per atom
- Energy of formation: -0.159 eV per atom

---

A plane-wave DFT calculation with PBE-GGA was carried out for crystalline Ac3TmS4 at its relaxed geometry.

```
Ac3TmS4
1.0
-5.880 -3.934 -1.404
4.688 -0.528 -5.686
3.576 -6.615 3.562
S Tm Ac
8 2 6
direct
0.016 0.767 0.360
0.516 0.767 0.640
0.999 0.776 0.888
0.501 0.224 0.888
0.499 0.776 0.112
0.001 0.224 0.112
0.484 0.233 0.360
0.984 0.233 0.640
0.250 0.000 0.124
0.750 0.000 0.876
0.750 0.500 0.126
0.250 0.500 0.874
0.750 0.500 0.624
0.750 0.000 0.373
0.250 0.000 0.627
0.250 0.500 0.376
```

Summary:
- N(E_F): 3.526 states/eV/f.u.
- Symmetry: P2/c, No. 13
- Raw formation energy: -1950 meV/atom
- Electronic total energy: -0.4493 Ry per atom

---

A plane-wave DFT calculation with PBE-GGA was carried out for crystalline Nd4ErTh2 at its relaxed geometry.

```
Nd4ErTh2
1.0
3.611 0.000 0.340
1.789 3.136 0.340
-0.139 -0.081 20.829
Th Nd Er
2 4 1
direct
0.810 0.810 0.569
0.190 0.190 0.431
0.620 0.620 0.140
0.904 0.904 0.287
0.380 0.380 0.860
0.096 0.096 0.713
0.000 0.000 0.000
```

Summary:
- N(E_F): 10.075 states/eV/f.u.
- Symmetry: R-3m, No. 166
- Electronic total energy: -0.4011 Ry per atom
- Energy of formation: 0.039 eV per atom

---

A plane-wave DFT calculation with PBE-GGA was carried out for crystalline MnOsRu2 at its relaxed geometry.

```
MnOsRu2
1.0
0.000 3.052 3.052
3.052 0.000 3.052
3.052 3.052 0.000
Ru Mn Os
2 1 1
direct
0.250 0.250 0.250
0.750 0.750 0.750
0.000 0.000 0.000
0.500 0.500 0.500
```

Summary:
- Offset from the most stable computed form: 0.323 eV per atom
- N(E_F): 4.868 states/eV/f.u.
- Symmetry: Fm-3m, No. 225
- Electronic total energy: -0.6863 Ry per atom
- Energy of formation: 0.400 eV per atom

---

A plane-wave DFT calculation with PBE-GGA was carried out for crystalline ScAu2Cl at its relaxed geometry.

```
ScAu2Cl
1.0
-3.656 2.795 -2.235
-1.380 -3.580 3.384
0.234 2.479 2.717
Au Sc Cl
2 1 1
direct
0.000 0.000 0.000
0.500 0.500 0.000
0.000 0.500 0.500
0.500 0.000 0.500
```

Summary:
- Offset from the most stable computed form: 0.304 eV per atom
- N(E_F): 0.987 states/eV/f.u.
- Symmetry: Cmmm, No. 65
- Raw formation energy: -528 meV/atom
- Electronic total energy: -0.3095 Ry per atom

---

A plane-wave DFT calculation with PBE-GGA was carried out for crystalline GdLuCdCu at its relaxed geometry.

```
GdLuCdCu
1.0
5.099 0.000 0.000
2.550 4.416 0.000
2.550 1.472 4.163
Gd Lu Cu Cd
1 1 1 1
direct
0.000 0.000 0.000
0.500 0.500 0.500
0.250 0.250 0.250
0.750 0.750 0.750
```

Summary:
- N(E_F): 3.565 states/eV/f.u.
- Symmetry: F-43m, No. 216
- Electronic total energy: -0.4504 Ry per atom
- Energy of formation: -0.225 eV per atom

---

A plane-wave DFT calculation with PBE-GGA was carried out for crystalline Sr2GeTe at its relaxed geometry.

```
Sr2GeTe
1.0
0.000 3.992 3.992
3.992 0.000 3.992
3.992 3.992 0.000
Te Sr Ge
1 2 1
direct
0.500 0.500 0.500
0.750 0.750 0.750
0.250 0.250 0.250
0.000 0.000 0.000
```

Summary:
- Offset from the most stable computed form: 0.000 eV per atom
- N(E_F): 4.987 states/eV/f.u.
- Symmetry: Fm-3m, No. 225
- Raw formation energy: -749 meV/atom
- Electronic total energy: -0.2594 Ry per atom

---

A plane-wave DFT calculation with PBE-GGA was carried out for crystalline MgCuSn2Os at its relaxed geometry.

```
MgCuSn2Os
1.0
-0.312 4.399 1.996
1.425 -1.710 3.992
4.588 0.894 -1.255
Sn Cu Mg Os
2 1 1 1
direct
0.000 0.000 0.500
0.500 0.000 0.000
0.000 0.000 0.000
0.000 0.500 0.000
0.500 0.500 0.500
```

Summary:
- N(E_F): 4.289 states/eV/f.u.
- Symmetry: P4/mmm, No. 123
- Electronic total energy: -0.2939 Ry per atom
- Energy of formation: 0.986 eV per atom

---

A plane-wave DFT calculation with PBE-GGA was carried out for crystalline NdThS2 at its relaxed geometry.

```
NdThS2
1.0
3.919 0.000 0.000
1.960 3.394 0.000
1.960 1.131 7.237
S Nd Th
2 1 1
direct
0.251 0.251 0.248
0.083 0.083 0.752
0.670 0.670 0.989
0.496 0.496 0.511
```

Summary:
- Offset from the most stable computed form: 0.103 eV per atom
- N(E_F): 2.720 states/eV/f.u.
- Symmetry: R3m, No. 160
- Raw formation energy: -1821 meV/atom
- Electronic total energy: -0.5094 Ry per atom

---

A plane-wave DFT calculation with PBE-GGA was carried out for crystalline ErTm2Sc at its relaxed geometry.

```
ErTm2Sc
1.0
3.463 0.001 -0.001
-0.001 5.940 0.847
-1.729 -0.577 11.105
Tm Er Sc
4 2 2
direct
0.672 0.230 0.830
0.412 0.650 0.312
0.912 0.150 0.312
0.172 0.730 0.830
0.044 0.438 0.572
0.544 0.938 0.572
0.292 0.357 0.069
0.792 0.857 0.069
```

Summary:
- Offset from the most stable computed form: 0.000 eV per atom
- N(E_F): 6.659 states/eV/f.u.
- Symmetry: P1, No. 1
- Electronic total energy: -0.3627 Ry per atom
- Energy of formation: 0.025 eV per atom

---

A plane-wave DFT calculation with PBE-GGA was carried out for crystalline BaTa at its relaxed geometry.

```
BaTa
1.0
-0.187 -2.491 -1.856
-0.901 -1.736 2.421
-5.497 1.262 -1.140
Ba Ta
1 1
direct
0.000 0.000 0.000
0.500 0.500 0.500
```

Summary:
- Offset from the most stable computed form: 0.847 eV per atom
- N(E_F): 2.615 states/eV/f.u.
- Symmetry: P4/mmm, No. 123
- Electronic total energy: -0.4058 Ry per atom
- Energy of formation: 1.366 eV per atom

---

A plane-wave DFT calculation with PBE-GGA was carried out for crystalline KPm2AgTe4 at its relaxed geometry.

```
KPm2AgTe4
1.0
4.529 0.000 0.000
-2.264 7.609 0.000
0.000 0.000 15.983
Te K Ag Pm
8 2 2 4
direct
0.549 0.098 0.250
0.451 0.902 0.750
0.269 0.539 0.109
0.269 0.539 0.391
0.731 0.461 0.609
0.731 0.461 0.891
0.000 0.000 0.000
0.000 0.000 0.500
0.124 0.247 0.750
0.876 0.753 0.250
0.157 0.314 0.250
0.843 0.686 0.750
0.368 0.736 0.931
0.632 0.264 0.431
0.632 0.264 0.069
0.368 0.736 0.569
```

Summary:
- Symmetry: Cmcm, No. 63
- Raw formation energy: -1178 meV/atom
- Electronic total energy: -0.3256 Ry per atom

---

A plane-wave DFT calculation with PBE-GGA was carried out for crystalline CsBI2Cl at its relaxed geometry.

```
CsBI2Cl
1.0
7.401 0.000 0.000
0.000 3.881 0.000
0.000 0.000 7.401
Cl B Cs I
1 1 1 2
direct
0.000 0.000 0.000
0.000 0.500 0.000
0.500 0.500 0.500
0.500 0.000 0.000
0.000 0.000 0.500
```

Summary:
- N(E_F): 2.635 states/eV/f.u.
- Symmetry: P4/mmm, No. 123
- Raw formation energy: 221 meV/atom
- Electronic total energy: -0.1672 Ry per atom

---

A plane-wave DFT calculation with PBE-GGA was carried out for crystalline AcAgGeBi at its relaxed geometry.

```
AcAgGeBi
1.0
5.372 0.000 0.000
2.686 4.652 0.000
2.686 1.551 4.386
Ag Ac Bi Ge
1 1 1 1
direct
0.250 0.250 0.250
0.000 0.000 0.000
0.500 0.500 0.500
0.750 0.750 0.750
```

Summary:
- N(E_F): 2.729 states/eV/f.u.
- Symmetry: F-43m, No. 216
- Electronic total energy: -0.3026 Ry per atom
- Energy of formation: -0.253 eV per atom

---

A plane-wave DFT calculation with PBE-GGA was carried out for crystalline Zr2Rh2W at its relaxed geometry.

```
Zr2Rh2W
1.0
-3.062 5.671 1.628
-2.323 0.528 -6.206
-3.424 -2.164 1.098
Rh Zr W
4 4 2
direct
0.362 0.862 0.000
0.138 0.362 0.000
0.862 0.638 0.000
0.638 0.138 0.000
0.676 0.824 0.500
0.324 0.176 0.500
0.176 0.676 0.500
0.824 0.324 0.500
0.500 0.500 0.000
0.000 0.000 0.000
```

Summary:
- N(E_F): 6.459 states/eV/f.u.
- Symmetry: P4/mbm, No. 127
- Electronic total energy: -0.6792 Ry per atom
- Energy of formation: -0.290 eV per atom

---

A plane-wave DFT calculation with PBE-GGA was carried out for crystalline Y3PuO8 at its relaxed geometry.

```
Y3PuO8
1.0
6.040 -0.169 0.000
-2.981 5.255 0.000
0.000 0.000 6.755
O Pu Y
8 1 3
direct
0.248 0.302 0.274
0.752 0.698 0.274
0.698 0.752 0.726
0.711 0.289 0.000
0.289 0.711 0.000
0.312 0.688 0.500
0.302 0.248 0.726
0.688 0.312 0.500
0.500 0.500 0.500
0.500 0.500 0.000
0.500 0.000 0.771
0.000 0.500 0.229
```

Summary:
- Symmetry: C222, No. 21
- Raw formation energy: -2950 meV/atom
- Electronic total energy: -0.6664 Ry per atom

---

A plane-wave DFT calculation with PBE-GGA was carried out for crystalline HfHg2GePt at its relaxed geometry.

```
HfHg2GePt
1.0
-2.447 -4.505 -0.570
3.948 -1.820 -2.569
2.086 -1.690 4.404
Hf Hg Pt Ge
1 2 1 1
direct
0.000 0.500 0.000
0.000 0.000 0.500
0.500 0.000 0.000
0.000 0.000 0.000
0.500 0.500 0.500
```

Summary:
- N(E_F): 4.329 states/eV/f.u.
- Symmetry: P4/mmm, No. 123
- Electronic total energy: -0.2824 Ry per atom
- Energy of formation: 0.400 eV per atom

---

A plane-wave DFT calculation with PBE-GGA was carried out for crystalline NaTcB3 at its relaxed geometry.

```
NaTcB3
1.0
-0.817 2.729 -2.989
1.058 -2.799 -2.845
-3.907 -1.328 -0.146
B Tc Na
3 1 1
direct
0.500 0.000 0.000
0.000 0.000 0.500
0.000 0.500 0.000
0.000 0.000 0.000
0.500 0.500 0.500
```

Summary:
- Offset from the most stable computed form: 0.000 eV per atom
- N(E_F): 1.867 states/eV/f.u.
- Symmetry: Pm-3m, No. 221
- Electronic total energy: -0.4178 Ry per atom
- Energy of formation: 0.659 eV per atom

---

A plane-wave DFT calculation with PBE-GGA was carried out for crystalline TlIr at its relaxed geometry.

```
TlIr
1.0
-1.107 -4.081 3.519
1.823 -4.201 3.047
0.831 1.824 4.703
Tl Ir
2 2
direct
0.274 0.274 0.183
0.476 0.476 0.567
0.719 0.719 0.705
0.031 0.031 0.045
```

Summary:
- N(E_F): 1.754 states/eV/f.u.
- Symmetry: C2/m, No. 12
- Electronic total energy: -0.3720 Ry per atom
- Energy of formation: 0.553 eV per atom

---

A plane-wave DFT calculation with PBE-GGA was carried out for crystalline RbTl2PdI at its relaxed geometry.

```
RbTl2PdI
1.0
-0.319 3.820 -3.741
-1.763 -3.613 -3.539
-6.231 1.260 1.818
Tl Pd Rb I
2 1 1 1
direct
0.500 0.000 0.000
0.000 0.500 0.000
0.000 0.000 0.000
0.000 0.000 0.500
0.500 0.500 0.500
```

Summary:
- N(E_F): 0.747 states/eV/f.u.
- Symmetry: P4/mmm, No. 123
- Raw formation energy: -450 meV/atom
- Electronic total energy: -0.2160 Ry per atom

---

A plane-wave DFT calculation with PBE-GGA was carried out for crystalline KCuBr2 at its relaxed geometry.

```
KCuBr2
1.0
4.226 0.000 0.000
0.001 4.562 0.000
0.000 1.158 6.938
Br Cu K
2 1 1
direct
0.575 0.487 0.466
0.071 0.613 0.948
0.571 0.566 0.793
0.075 0.023 0.314
```

Summary:
- Offset from the most stable computed form: 0.030 eV per atom
- Symmetry: P1, No. 1
- Raw formation energy: -967 meV/atom
- Electronic total energy: -0.2280 Ry per atom

---

A plane-wave DFT calculation with PBE-GGA was carried out for crystalline Mn2RuC6N6 at its relaxed geometry.

```
Mn2RuC6N6
1.0
3.043 -5.271 0.000
3.043 5.271 0.000
0.000 0.000 6.751
C Mn Ru N
6 2 1 6
direct
0.000 0.744 0.813
0.744 0.000 0.813
0.744 0.744 0.187
0.256 0.256 0.813
0.256 0.000 0.187
0.000 0.256 0.187
0.667 0.333 0.500
0.333 0.667 0.500
0.000 0.000 0.000
0.388 0.000 0.317
0.000 0.388 0.317
0.388 0.388 0.683
0.612 0.612 0.317
0.000 0.612 0.683
0.612 0.000 0.683
```

Summary:
- N(E_F): 0.000 states/eV/f.u.
- Symmetry: P-31m, No. 162
- Raw formation energy: 164 meV/atom
- Electronic total energy: -0.6392 Ry per atom

---

A plane-wave DFT calculation with PBE-GGA was carried out for crystalline RbLi2AcI6 at its relaxed geometry.

```
RbLi2AcI6
1.0
7.805 0.000 -0.006
-3.902 6.760 0.000
-3.901 -2.249 9.002
I Li Rb Ac
6 2 1 1
direct
0.864 0.579 0.784
0.479 0.061 0.176
0.514 0.935 0.785
0.129 0.417 0.176
0.773 0.711 0.176
0.220 0.285 0.785
0.334 0.667 0.987
0.659 0.329 0.974
0.997 0.498 0.480
0.996 0.998 0.980
```

Summary:
- N(E_F): 0.000 states/eV/f.u.
- Symmetry: R-3, No. 148
- Raw formation energy: -1389 meV/atom
- Electronic total energy: -0.2359 Ry per atom